{"formula": "K3Nd3VO8", "functional": "PBE with a Hubbard U", "state": "optimized geometry", "m_tot_mub_per_fu": 1.0, "dos_at_fermi_per_ev_atom": 0.00, "total_energy_ev_per_atom": -6.78, "lattice_angstrom": [[6.0379, -3.5048, 0.0000], [6.0379, 3.5048, 0.0000], [-4.0594, 0.0000, 6.3050]], "species": ["K", "K", "K", "Nd", "Nd", "Nd", "V", "O", "O", "O", "O", "O", "O", "O", "O"], "frac_coords": [[0.0000, 0.0000, 0.0000], [0.0000, 0.5000, 0.0000], [0.5000, 0.0000, 0.0000], [0.0000, 0.5000, 0.5000], [0.5000, 0.0000, 0.5000], [0.5000, 0.5000, 0.5000], [0.0000, 0.0000, 0.5000], [0.1970, 0.1970, 0.6675], [0.2036, 0.7649, 0.6721], [0.2351, 0.7964, 0.3279], [0.2680, 0.2680, 0.3071], [0.7320, 0.7320, 0.6929], [0.7649, 0.2036, 0.6721], [0.7964, 0.2351, 0.3279], [0.8030, 0.8030, 0.3325]]}